1.
! LiCu2P GGA-PBEsol relaxed; values from VASP
! formation energy	-1.2	eV/f.u.
! space-group type	P-3m1 (164)
&SYSTEM
  ibrav = 0, nat = 8, ntyp = 3
/
ATOMIC_SPECIES
Cu 63.55 Cu.upf
Li 6.94 Li.upf
P 30.97 P.upf
ATOMIC_POSITIONS crystal
Cu 0.000 0.000 0.720
Cu 0.000 0.000 0.280
Cu 0.667 0.333 0.434
Cu 0.333 0.667 0.566
Li 0.667 0.333 0.092
Li 0.333 0.667 0.908
P 0.667 0.333 0.746
P 0.333 0.667 0.254
CELL_PARAMETERS angstrom
-1.392 3.646 -0.712
-1.183 -1.979 3.228
5.643 2.906 3.848

---

2.
! BeFeP2 GGA-PBEsol relaxed; values from VASP
! formation energy	-1.0	eV/f.u.
! space-group type	Amm2 (38)
&SYSTEM
  ibrav = 0, nat = 4, ntyp = 3
/
ATOMIC_SPECIES
P 30.97 P.upf
Fe 55.84 Fe.upf
Be 9.01 Be.upf
ATOMIC_POSITIONS crystal
P 0.157 0.314 0.000
P 0.596 0.192 0.500
Fe 0.297 0.594 0.500
Be 0.450 0.901 0.000
CELL_PARAMETERS angstrom
3.158 -0.033 0.000
-1.539 3.698 0.000
0.000 0.000 4.079

---

3.
! Na6Co2C4SO16 GGA-PBEsol relaxed; values from VASP
! formation energy from raw total energies	-1.535	eV per atom
! space-group type	Fd-3 (203)
&SYSTEM
  ibrav = 0, nat = 58, ntyp = 5
/
ATOMIC_SPECIES
Na 22.99 Na.upf
Co 58.93 Co.upf
C 12.01 C.upf
S 32.06 S.upf
O 16.00 O.upf
ATOMIC_POSITIONS crystal
Na 0.468 0.468 0.032
Na 0.468 0.032 0.032
Na 0.468 0.032 0.468
Na 0.218 0.218 0.782
Na 0.032 0.468 0.032
Na 0.032 0.468 0.468
Na 0.218 0.782 0.218
Na 0.218 0.782 0.782
Na 0.032 0.032 0.468
Na 0.782 0.218 0.218
Na 0.782 0.218 0.782
Na 0.782 0.782 0.218
Co 0.625 0.625 0.625
Co 0.625 0.625 0.125
Co 0.625 0.125 0.625
Co 0.125 0.625 0.625
C 0.473 0.842 0.842
C 0.408 0.408 0.408
C 0.408 0.408 0.777
C 0.408 0.777 0.408
C 0.842 0.473 0.842
C 0.842 0.842 0.842
C 0.842 0.842 0.473
C 0.777 0.408 0.408
S 0.000 0.000 0.000
S 0.250 0.250 0.250
O 0.471 0.725 0.986
O 0.471 0.818 0.725
O 0.471 0.986 0.818
O 0.525 0.264 0.779
O 0.062 0.813 0.062
O 0.432 0.264 0.525
O 0.525 0.432 0.264
O 0.062 0.062 0.062
O 0.062 0.062 0.813
O 0.432 0.525 0.779
O 0.264 0.432 0.779
O 0.813 0.062 0.062
O 0.525 0.779 0.432
O 0.264 0.525 0.432
O 0.432 0.779 0.264
O 0.986 0.471 0.725
O 0.264 0.779 0.525
O 0.818 0.471 0.986
O 0.986 0.725 0.818
O 0.725 0.471 0.818
O 0.437 0.188 0.188
O 0.986 0.818 0.471
O 0.818 0.725 0.471
O 0.188 0.188 0.437
O 0.188 0.188 0.188
O 0.725 0.818 0.986
O 0.818 0.986 0.725
O 0.188 0.437 0.188
O 0.725 0.986 0.471
O 0.779 0.264 0.432
O 0.779 0.432 0.525
O 0.779 0.525 0.264
CELL_PARAMETERS angstrom
9.776 0.000 0.000
4.888 8.466 0.000
4.888 2.822 7.982

---

4.
! InIr2W GGA-PBEsol relaxed; values from VASP
! formation energy	0.2	eV/f.u.
! space-group type	I4/mmm (139)
&SYSTEM
  ibrav = 0, nat = 4, ntyp = 3
/
ATOMIC_SPECIES
In 114.82 In.upf
Ir 192.22 Ir.upf
W 183.84 W.upf
ATOMIC_POSITIONS crystal
In 0.500 0.500 0.000
Ir 0.750 0.250 0.500
Ir 0.250 0.750 0.500
W 0.000 0.000 0.000
CELL_PARAMETERS angstrom
-1.036 3.193 2.259
-3.220 -2.023 1.382
4.214 -1.942 1.054

---

5.
! Ge3PS GGA-PBEsol relaxed; values from VASP
! formation energy from raw total energies	0.756	eV per atom
! space-group type	Pm-3m (221)
&SYSTEM
  ibrav = 0, nat = 5, ntyp = 3
/
ATOMIC_SPECIES
P 30.97 P.upf
Ge 72.64 Ge.upf
S 32.06 S.upf
ATOMIC_POSITIONS crystal
P 0.500 0.500 0.500
Ge 0.000 0.500 0.000
Ge 0.000 0.000 0.500
Ge 0.500 0.000 0.000
S 0.000 0.000 0.000
CELL_PARAMETERS angstrom
4.814 0.000 0.000
0.000 4.814 0.000
0.000 0.000 4.814

---

6.
! Zn2CoPt GGA-PBEsol relaxed; values from VASP
! formation energy	-1.1	eV/f.u.
! space-group type	P4/mmm (123)
&SYSTEM
  ibrav = 0, nat = 4, ntyp = 3
/
ATOMIC_SPECIES
Zn 65.41 Zn.upf
Co 58.93 Co.upf
Pt 195.08 Pt.upf
ATOMIC_POSITIONS crystal
Zn 0.000 0.000 0.773
Zn 0.000 0.000 0.227
Co 0.500 0.500 0.000
Pt 0.500 0.500 0.500
CELL_PARAMETERS angstrom
-2.904 -0.354 0.214
0.341 -1.194 2.659
-0.466 5.290 2.435

---

7.
! AlFeP2O GGA-PBEsol relaxed; values from VASP
! formation energy from raw total energies	0.123	eV per atom
! space-group type	P4/mmm (123)
&SYSTEM
  ibrav = 0, nat = 5, ntyp = 4
/
ATOMIC_SPECIES
P 30.97 P.upf
Fe 55.84 Fe.upf
O 16.00 O.upf
Al 26.98 Al.upf
ATOMIC_POSITIONS crystal
P 0.000 0.000 0.500
P 0.000 0.500 0.000
Fe 0.500 0.500 0.500
O 0.500 0.000 0.000
Al 0.000 0.000 0.000
CELL_PARAMETERS angstrom
3.295 0.000 0.000
0.000 4.834 0.000
0.000 0.000 4.834

---

8.
! AgOs3Ru GGA-PBEsol relaxed; values from VASP
! formation energy	12.4	eV/f.u.
! space-group type	Pm-3m (221)
&SYSTEM
  ibrav = 0, nat = 5, ntyp = 3
/
ATOMIC_SPECIES
Ru 101.07 Ru.upf
Os 190.23 Os.upf
Ag 107.87 Ag.upf
ATOMIC_POSITIONS crystal
Ru 0.000 0.000 0.000
Os 0.000 0.500 0.000
Os 0.000 0.000 0.500
Os 0.500 0.000 0.000
Ag 0.500 0.500 0.500
CELL_PARAMETERS angstrom
-0.344 -3.736 2.653
4.378 0.517 1.296
-1.353 2.624 3.521

---

Number 1: calculated total energy -4.404 eV/atom, V 101.2 Å³ per cell. Number 2: calculated total energy -6.391 eV/atom, V 47.4 Å³ per cell. Number 3: calculated total energy -6.736 eV/atom, V 660.6 Å³ per cell. Number 4: calculated total energy -9.048 eV/atom, V 62.3 Å³ per cell. Number 5: calculated total energy -4.242 eV/atom, V 111.6 Å³ per cell. Number 6: calculated total energy -4.732 eV/atom, V 50.3 Å³ per cell. Number 7: calculated total energy -5.855 eV/atom, V 77.0 Å³ per cell. Number 8: calculated total energy -7.556 eV/atom, V 97.0 Å³ per cell.